1.
Material: Ca5TbS6
Method: DFT, GGA-PBE
State: optimized geometry

Structure (CIF):
```
data_Ca5TbS6
_symmetry_space_group_name_H-M 'P 1'
_symmetry_Int_Tables_number 1
_symmetry_space_group_name_Hall 'P 1'
_cell_length_a 6.9514
_cell_length_b 6.9498
_cell_length_c 6.9486
_cell_angle_alpha 59.99
_cell_angle_beta 80.41
_cell_angle_gamma 70.53
loop_
_atom_site_label
_atom_site_fract_x
_atom_site_fract_y
_atom_site_fract_z
_atom_site_occupancy
S1 0.7530 0.7545 0.0000 1
S2 0.2470 0.2455 0.0000 1
S3 0.2470 0.5897 0.3280 1
S4 0.7530 0.0823 0.3280 1
S5 0.2470 0.9177 0.6720 1
S6 0.7530 0.4103 0.6720 1
Ca1 0.5000 0.8321 0.3358 1
Ca2 0.5000 0.5000 0.0000 1
Ca3 0.5000 0.1679 0.6642 1
Ca4 0.0000 0.6666 0.6669 1
Ca5 0.0000 0.3334 0.3331 1
Tb1 0.0000 0.0000 0.0000 1
```

Results
For the volume, the calculation gives 22.8 Å³/atom. The calculation puts the formation energy from raw total energies at -204 kJ per mole of atoms.

---

2.
Material: BAuI
Method: DFT, GGA-PBE
State: optimized geometry

Structure (CIF):
```
data_BAuI
_symmetry_space_group_name_H-M 'P 1'
_symmetry_Int_Tables_number 1
_symmetry_space_group_name_Hall 'P 1'
_cell_length_a 3.7746
_cell_length_b 3.5208
_cell_length_c 5.8709
_cell_angle_alpha 90.00
_cell_angle_beta 108.24
_cell_angle_gamma 90.00
loop_
_atom_site_label
_atom_site_fract_x
_atom_site_fract_y
_atom_site_fract_z
_atom_site_occupancy
B1 0.5587 0.0000 0.5995 1
Au1 0.9749 0.0000 0.4274 1
I1 0.6946 0.5000 0.8793 1
```

Results
The energy above the lowest structure with this stoichiometry comes out at 261.0 meV per atom. For the volume, the calculation gives 24.7 Å³/atom. The calculation puts the formation energy from raw total energies at 56 kJ per mole of atoms.

---

3.
Material: Na2Sr2Pd
Method: DFT, GGA-PBE
State: optimized geometry

Structure (CIF):
```
data_Na2Sr2Pd
_symmetry_space_group_name_H-M 'P 1'
_symmetry_Int_Tables_number 1
_symmetry_space_group_name_Hall 'P 1'
_cell_length_a 8.0102
_cell_length_b 8.0102
_cell_length_c 6.4902
_cell_angle_alpha 90.00
_cell_angle_beta 90.00
_cell_angle_gamma 90.00
loop_
_atom_site_label
_atom_site_fract_x
_atom_site_fract_y
_atom_site_fract_z
_atom_site_occupancy
Pd1 0.0000 0.0000 0.0000 1
Pd2 0.5000 0.5000 0.0000 1
Sr1 0.8240 0.6760 0.0000 1
Sr2 0.3240 0.8240 0.0000 1
Sr3 0.1760 0.3240 0.0000 1
Sr4 0.6760 0.1760 0.0000 1
Na1 0.8432 0.3432 0.5000 1
Na2 0.1568 0.6568 0.5000 1
Na3 0.3432 0.1568 0.5000 1
Na4 0.6568 0.8432 0.5000 1
```

Results
The energy above the lowest structure with this stoichiometry comes out at 0.0 meV per atom. For the volume, the calculation gives 41.6 Å³/atom.

---

4.
Material: Ac2La4PrSm
Method: DFT, GGA-PBE
State: optimized geometry

Structure (CIF):
```
data_Ac2La4PrSm
_symmetry_space_group_name_H-M 'P 1'
_symmetry_Int_Tables_number 1
_symmetry_space_group_name_Hall 'P 1'
_cell_length_a 3.8046
_cell_length_b 6.5083
_cell_length_c 12.6017
_cell_angle_alpha 79.56
_cell_angle_beta 90.00
_cell_angle_gamma 90.00
loop_
_atom_site_label
_atom_site_fract_x
_atom_site_fract_y
_atom_site_fract_z
_atom_site_occupancy
Pr1 0.5000 0.5000 0.0000 1
Ac1 0.0000 0.0000 0.0000 1
Ac2 0.5000 0.0000 0.5000 1
Sm1 0.0000 0.5000 0.5000 1
La1 0.0000 0.2545 0.2488 1
La2 0.5000 0.7461 0.2531 1
La3 0.0000 0.7455 0.7512 1
La4 0.5000 0.2539 0.7469 1
```

Results
For the volume, the calculation gives 38.4 Å³/atom.

---

no.,total moment (μB per formula unit),raw total energy (eV per cell)
1,0.00,-64.80
2,0.00,-9.77
3,0.00,-22.49
4,0.00,-37.23